*a*
A relaxed LaTb3Pm5 crystal, computed with PBE.

The structure in extended XYZ format:
```
18
Lattice="-3.817 -6.185 -6.022 -2.592 -0.658 9.716 -5.576 4.587 -1.178" Properties=species:S:1:pos:R:3 pbc="T T T"
La -6.833 -0.856 -5.066
La -2.560 -0.742 -2.134
Tb 0.000 0.000 0.000
Tb -6.193 -4.358 0.993
Tb -2.788 2.294 -0.589
Tb -5.792 2.101 1.522
Tb -8.976 -2.056 0.413
Tb -3.009 -0.201 2.103
Pm -5.452 1.382 -2.887
Pm -3.690 -3.605 3.428
Pm -4.068 -5.423 -1.862
Pm -8.295 1.348 -0.912
Pm -6.477 -1.312 2.839
Pm -3.941 -2.980 -4.313
Pm -5.130 0.874 4.966
Pm -6.855 -3.130 -2.450
Pm -5.508 -0.944 -0.323
Pm -7.916 3.166 4.378
```

Results
For the magnetization, the calculation gives 0.001 μB per cell.

*b*
A relaxed LaTb3Pm5 crystal, computed with PBE.

The structure in extended XYZ format:
```
18
Lattice="-8.970 1.347 2.093 -6.934 -4.553 -4.224 -6.992 -8.229 5.433" Properties=species:S:1:pos:R:3 pbc="T T T"
La -6.768 -5.752 3.191
La -16.129 -5.684 0.110
Tb -16.486 -8.127 2.277
Tb -13.208 -3.937 -0.579
Tb 0.000 0.000 0.000
Tb -3.496 -4.115 2.716
Tb -6.411 -3.309 1.024
Tb -9.690 -7.498 3.881
Pm -11.624 -1.548 1.659
Pm -7.574 -2.700 -2.240
Pm -10.551 -2.315 -1.238
Pm -9.846 -4.797 1.307
Pm -13.051 -6.639 1.994
Pm -12.346 -9.121 4.539
Pm -10.333 -5.291 -2.348
Pm -8.331 -0.506 0.109
Pm -11.273 -9.888 1.642
Pm -12.565 -6.145 5.650
```

Results
For the magnetization, the calculation gives 0.001 μB per cell.

It is *b* that is the least stable of them.

*a*
A relaxed La3Tb2Pm8 crystal, computed with PBE.

The structure in extended XYZ format:
```
13
Lattice="5.779 0.000 0.418 0.000 7.770 0.000 -0.768 -3.885 10.302" Properties=species:S:1:pos:R:3 pbc="T T T"
La 2.890 0.000 0.209
La 0.000 2.283 0.000
La 0.000 5.487 0.000
Tb 2.495 0.000 5.185
Tb 2.516 3.885 5.535
Pm -0.252 3.885 3.617
Pm 5.264 0.000 7.104
Pm 5.557 0.000 3.227
Pm -0.546 3.885 7.493
Pm 2.287 1.621 8.272
Pm 2.287 -1.621 8.272
Pm 2.724 5.505 2.449
Pm 2.724 2.264 2.449
```

Results
For the magnetization, the calculation gives 0.000 μB per cell.

*b*
A relaxed La3Tb2Pm8 crystal, computed with PBE.

The structure in extended XYZ format:
```
26
Lattice="12.923 1.395 2.216 -5.395 3.245 -0.745 2.981 0.888 18.796" Properties=species:S:1:pos:R:3 pbc="T T T"
La 3.730 3.524 6.396
La 7.952 1.142 10.506
La 8.237 4.849 15.645
La 2.272 0.680 4.622
La 0.000 0.000 0.000
La 6.780 2.005 13.872
Tb 4.901 2.650 3.039
Tb 9.419 4.008 12.272
Tb 1.090 1.520 7.996
Tb 5.609 2.879 17.228
Pm 8.322 2.445 4.294
Pm 7.163 3.343 7.677
Pm -1.249 3.271 14.702
Pm 9.038 2.661 18.494
Pm 0.305 3.717 5.144
Pm 10.602 3.139 8.947
Pm 4.519 1.312 9.240
Pm 12.467 2.462 19.756
Pm -1.957 3.067 0.512
Pm 5.991 4.216 11.027
Pm 11.759 2.258 5.566
Pm 10.204 1.812 15.124
Pm 1.471 2.868 1.774
Pm -0.093 2.390 11.320
Pm 3.346 2.186 12.590
Pm 2.187 3.084 15.974
```

Results
For the magnetization, the calculation gives 0.000 μB per cell.

It is *a* that is the least stable of them.

*a*
A relaxed La2Tb3Pm7 crystal, computed with PBE.

The structure in extended XYZ format:
```
12
Lattice="-3.489 0.555 0.637 -1.355 -5.929 -2.257 0.963 -10.857 14.732" Properties=species:S:1:pos:R:3 pbc="T T T"
La -2.254 -6.926 3.802
La -1.627 -9.305 9.311
Tb -2.422 -2.687 -0.810
Tb 0.176 -4.369 4.772
Tb -0.569 -12.417 7.703
Pm -1.585 -6.599 7.183
Pm -2.296 -9.632 5.929
Pm -0.600 -5.092 1.148
Pm 0.000 0.000 0.000
Pm 0.208 -11.694 11.327
Pm -2.214 -14.327 10.468
Pm -1.667 -1.904 2.644
```

Results
For the magnetization, the calculation gives 0.000 μB per cell.

*b*
A relaxed La2Tb3Pm7 crystal, computed with PBE.

The structure in extended XYZ format:
```
12
Lattice="-3.627 -0.402 0.358 0.788 -5.526 1.773 0.747 8.823 17.490" Properties=species:S:1:pos:R:3 pbc="T T T"
La 1.196 1.498 13.808
La 0.339 1.799 5.455
Tb -1.419 -2.964 1.066
Tb -0.995 -0.708 7.907
Tb -1.097 3.603 11.713
Pm 0.937 4.976 15.090
Pm 1.007 0.494 10.762
Pm 0.000 0.000 0.000
Pm 0.598 -1.679 4.173
Pm -1.651 0.663 2.799
Pm -0.441 2.232 16.822
Pm 0.528 2.803 8.501
```

Results
For the magnetization, the calculation gives 0.000 μB per cell.

It is *b* that is the least stable of them.

*a*
A relaxed La4Tb5Pm crystal, computed with PBE.

The structure in extended XYZ format:
```
20
Lattice="5.938 0.000 0.000 0.000 10.736 0.000 0.000 0.000 10.739" Properties=species:S:1:pos:R:3 pbc="T T T"
La 3.733 0.000 7.567
La 3.733 7.564 0.000
La 3.733 3.172 0.000
La 3.733 0.000 3.171
La 2.205 5.368 2.198
La 2.205 8.540 5.369
La 2.205 2.196 5.369
La 2.205 5.368 8.541
Tb 0.919 9.012 9.014
Tb 0.919 1.724 9.014
Tb 0.000 5.368 0.000
Tb 0.919 9.012 1.724
Tb 0.919 1.724 1.724
Tb 5.019 7.092 3.645
Tb 5.019 3.644 3.645
Tb 5.938 0.000 5.369
Tb 5.019 3.644 7.094
Tb 5.019 7.092 7.094
Pm 3.688 0.000 0.000
Pm 2.250 5.368 5.369
```

Results
For the magnetization, the calculation gives 0.000 μB per cell.

*b*
A relaxed La4Tb5Pm crystal, computed with PBE.

The structure in extended XYZ format:
```
10
Lattice="-2.301 2.731 -0.012 -6.142 -5.210 -8.219 -3.577 -5.320 6.096" Properties=species:S:1:pos:R:3 pbc="T T T"
La -4.204 -1.207 -0.101
La -4.910 -4.162 -5.752
La -7.815 -6.592 -2.034
La -7.109 -3.637 3.617
Tb -7.470 -6.317 -5.679
Tb -5.002 -4.224 -2.402
Tb -7.017 -3.575 0.267
Tb -4.221 -1.239 -4.115
Tb -4.550 -1.482 3.544
Pm -1.150 1.366 -0.006
```

Results
For the magnetization, the calculation gives 0.000 μB per cell.

It is *b* that is the least stable of them.

*a*
A relaxed La5Tb2Pm12 crystal, computed with PBE.

The structure in extended XYZ format:
```
19
Lattice="-3.350 -8.504 -1.934 7.411 3.610 -6.143 8.075 -3.521 1.495" Properties=species:S:1:pos:R:3 pbc="T T T"
La 8.310 -2.752 -2.293
La 5.116 -1.172 -3.707
La 4.038 -1.760 0.748
La 7.020 -7.243 -2.875
La 3.827 -5.664 -4.288
Tb -2.249 -5.711 -1.299
Tb -1.100 -2.794 -0.635
Pm 5.043 -5.493 -7.147
Pm 12.498 -0.962 -3.026
Pm 10.361 -6.386 -4.259
Pm 8.722 -0.279 -4.316
Pm 7.302 -3.883 -5.136
Pm 10.829 -3.136 -4.964
Pm 1.308 -5.279 -1.617
Pm 3.415 -8.137 -2.265
Pm 4.834 -4.533 -1.445
Pm -0.361 -7.454 -3.555
Pm 1.775 -2.030 -2.322
Pm 7.093 -2.922 0.566
```

Results
For the magnetization, the calculation gives 0.000 μB per cell.

*b*
A relaxed La5Tb2Pm12 crystal, computed with PBE.

The structure in extended XYZ format:
```
19
Lattice="-1.959 -3.384 4.933 9.530 -3.092 4.283 3.331 6.285 8.253" Properties=species:S:1:pos:R:3 pbc="T T T"
La 1.875 -0.829 4.885
La 2.521 -1.843 8.289
La -0.980 -1.692 2.466
La 8.380 1.653 9.180
La 9.027 0.639 12.583
Tb 4.736 4.160 7.353
Tb 8.125 -0.966 5.183
Pm 9.345 -0.564 15.921
Pm 5.024 -2.023 3.795
Pm 1.967 2.602 5.753
Pm 5.430 -3.108 7.064
Pm 2.398 1.479 9.006
Pm 5.228 0.503 6.974
Pm 5.673 -0.693 10.494
Pm 5.471 2.918 10.405
Pm 8.503 -1.669 8.463
Pm 5.877 1.834 13.674
Pm 8.935 -2.792 11.715
Pm 1.557 0.374 1.548
```

Results
For the magnetization, the calculation gives 0.000 μB per cell.

It is *a* that is the least stable of them.

*a*
A relaxed La4Tb2Pm5 crystal, computed with PBE.

The structure in extended XYZ format:
```
11
Lattice="3.553 0.000 0.000 0.000 9.531 0.000 -1.777 -4.765 11.605" Properties=species:S:1:pos:R:3 pbc="T T T"
La 0.000 2.766 0.000
La 1.777 4.765 2.166
La 0.000 6.765 0.000
La 0.000 0.000 9.438
Tb 0.000 0.000 6.305
Tb 1.777 4.765 5.300
Pm 1.777 -2.843 8.095
Pm 1.777 2.843 8.095
Pm 0.000 1.923 3.510
Pm 0.000 7.608 3.510
Pm 1.777 0.000 0.000
```

Results
For the magnetization, the calculation gives 0.000 μB per cell.

*b*
A relaxed La4Tb2Pm5 crystal, computed with PBE.

The structure in extended XYZ format:
```
11
Lattice="-1.243 3.375 0.079 -5.217 -2.167 10.489 8.378 1.084 3.623" Properties=species:S:1:pos:R:3 pbc="T T T"
La 4.500 1.546 4.768
La 2.681 2.644 11.147
La -2.582 0.745 9.423
La -0.763 -0.352 3.044
Tb 0.851 2.104 5.415
Tb 1.067 0.188 8.776
Pm 3.237 2.926 7.828
Pm -1.319 -0.635 6.363
Pm -0.474 1.459 12.113
Pm -0.622 1.687 0.040
Pm 2.392 0.832 2.078
```

Results
For the magnetization, the calculation gives 0.000 μB per cell.

It is *a* that is the least stable of them.